The following is a DFT calculation (PBE-GGA) of a geometry-optimized Cs6HfI12 structure.

abc: 14.7047 14.7047 20.3003
angles: 90.00 90.00 120.00
Closest atoms and distances in Å follow each position.
Space group R-3 (No. 148, hexagonal axes)
Symmetry-distinct sites (fractional):
1 Cs 0.0288 0.6046 0.4078 (multiplicity 18)  6 I 3.77-4.22
2 Hf 0.0000 0.0000 0.0000 (multiplicity 3)  6 I 2.86
3 I 0.0491 0.1775 0.0817 (multiplicity 18)  1 Hf 2.86
4 I 0.0623 0.7927 0.2711 (multiplicity 18)  1 I 3.68, 3 Cs 3.77-3.97

Calculated values
- VASP energy: -164.7 eV for the cell shown
- Magnetic moment: 6.248 μB/cell